1.
ScTlMo2: relaxed, PBE-GGA.

Lattice parameters (Å, degrees): 3.0286 4.2965 5.9418 90.00 100.20 90.00
With the nearest neighbours (Å) after each atom.
Atoms (fractional coordinates):
Sc1 0.0000 0.0000 0.0000  3 Mo 2.77-2.87, 2 Sc 3.03, 4 Tl 3.07-3.09
Tl1 0.5868 0.5000 0.2738  6 Mo 2.91-3.13, 2 Tl 3.03, 4 Sc 3.07-3.09
Mo1 0.1649 0.0000 0.5562  2 Mo 2.57, 1 Sc 2.77
Mo2 0.5040 0.5000 0.7537  2 Mo 2.57, 2 Sc 2.87

Computed properties:
* DFT total energy: -7.36 eV/atom
* V: 76.10 Å³/cell
* N(E_F): 3.235 states/eV/cell
* E_form: 0.933 eV/f.u.
* SG: Pm (6)
* distance to the lowest polymorph of the same formula: 169.3 meV/atom

=====

2.
NdMgOs: relaxed, PBE-GGA.

Lattice parameters (Å, degrees): 4.2871 17.2077 4.2055 90.00 90.00 90.00
With the nearest neighbours (Å) after each atom.
Atoms (fractional coordinates):
Nd1 0.0000 0.0947 0.2500  6 Os 3.08-3.18
Nd2 0.0000 0.9053 0.7500  6 Os 3.08-3.18
Nd3 0.5000 0.4053 0.7500  6 Os 3.08-3.18
Nd4 0.5000 0.5947 0.2500  6 Os 3.08-3.18
Mg1 0.0000 0.3001 0.2500  1 Os 2.86
Mg2 0.0000 0.6999 0.7500  1 Os 2.86
Mg3 0.5000 0.1999 0.7500  1 Os 2.86
Mg4 0.5000 0.8001 0.2500  1 Os 2.86
Os1 0.0000 0.4662 0.2500  2 Os 2.40
Os2 0.0000 0.5338 0.7500  2 Os 2.40
Os3 0.5000 0.0338 0.7500  2 Os 2.40
Os4 0.5000 0.9662 0.2500  2 Os 2.40

Computed properties:
* DFT total energy: -5.91 eV/atom
* V: 310.25 Å³/cell
* N(E_F): 7.965 states/eV/cell
* E_form: -0.136 eV/f.u.
* SG: Cmcm (63)

=====

3.
CdInTe2: relaxed, PBE-GGA.

Lattice parameters (Å, degrees): 4.4834 4.4834 22.9036 90.00 90.00 120.00
With the nearest neighbours (Å) after each atom.
Atoms (fractional coordinates):
Cd1 0.0000 0.0000 0.0000  3 Te 2.81
Cd2 0.3333 0.6667 0.6667  3 Te 2.81
Cd3 0.6667 0.3333 0.3333  3 Te 2.81
In1 0.0000 0.0000 0.2319  3 Te 2.96
In2 0.3333 0.6667 0.8986  3 Te 2.96
In3 0.6667 0.3333 0.5653  3 Te 2.96
Te1 0.0000 0.0000 0.5022  3 In 2.96
Te2 0.0000 0.0000 0.7146  3 Cd 2.81
Te3 0.3333 0.6667 0.1689  3 In 2.96
Te4 0.3333 0.6667 0.3813  3 Cd 2.81
Te5 0.6667 0.3333 0.0479  3 Cd 2.81
Te6 0.6667 0.3333 0.8355  3 In 2.96

Computed properties:
* DFT total energy: -2.60 eV/atom
* formation energy (no corrections): -0.115 eV per atom
* V: 398.71 Å³/cell
* N(E_F): 5.140 states/eV/cell
* SG: R3m (160)

=====

4.
HfNbIr2F: relaxed, PBE-GGA.

Lattice parameters (Å, degrees): 4.4603 4.4603 4.0749 90.00 90.00 90.00
With the nearest neighbours (Å) after each atom.
Atoms (fractional coordinates):
Hf1 0.0000 0.0000 0.0000  2 F 2.04
Nb1 0.5000 0.5000 0.0000  8 Ir 3.02, 4 Hf 3.15
Ir1 0.0000 0.5000 0.5000  2 F 2.23
Ir2 0.5000 0.0000 0.5000  2 F 2.23
F1 0.0000 0.0000 0.5000  2 Hf 2.04, 4 Ir 2.23

Computed properties:
* DFT total energy: -7.86 eV/atom
* formation energy (no corrections): 0.063 eV per atom
* V: 81.07 Å³/cell
* N(E_F): 5.381 states/eV/cell
* SG: P4/mmm (123)

=====

5.
CeMgCdRh: relaxed, PBE-GGA.

Lattice parameters (Å, degrees): 6.9841 6.9841 6.9841 90.00 90.00 90.00
With the nearest neighbours (Å) after each atom.
Atoms (fractional coordinates):
Ce1 0.0000 0.0000 0.0000  4 Cd 3.02, 4 Rh 3.02
Ce2 0.0000 0.5000 0.5000  4 Cd 3.02, 4 Rh 3.02
Ce3 0.5000 0.0000 0.5000  4 Cd 3.02, 4 Rh 3.02
Ce4 0.5000 0.5000 0.0000  4 Cd 3.02, 4 Rh 3.02
Mg1 0.0000 0.0000 0.5000  4 Cd 3.02, 4 Rh 3.02
Mg2 0.0000 0.5000 0.0000  4 Cd 3.02, 4 Rh 3.02
Mg3 0.5000 0.0000 0.0000  4 Cd 3.02, 4 Rh 3.02
Mg4 0.5000 0.5000 0.5000  4 Cd 3.02, 4 Rh 3.02
Cd1 0.2500 0.2500 0.2500  4 Ce 3.02, 4 Mg 3.02
Cd2 0.2500 0.7500 0.7500  4 Ce 3.02, 4 Mg 3.02
Cd3 0.7500 0.2500 0.7500  4 Ce 3.02, 4 Mg 3.02
Cd4 0.7500 0.7500 0.2500  4 Ce 3.02, 4 Mg 3.02
Rh1 0.2500 0.2500 0.7500  4 Ce 3.02, 4 Mg 3.02
Rh2 0.2500 0.7500 0.2500  4 Ce 3.02, 4 Mg 3.02
Rh3 0.7500 0.2500 0.2500  4 Ce 3.02, 4 Mg 3.02
Rh4 0.7500 0.7500 0.7500  4 Ce 3.02, 4 Mg 3.02

Computed properties:
* DFT total energy: -4.26 eV/atom
* V: 340.67 Å³/cell
* N(E_F): 20.380 states/eV/cell
* E_form: -1.228 eV/f.u.
* SG: F-43m (216)
* distance to the lowest polymorph of the same formula: 107.0 meV/atom

=====

6.
AlAs5: relaxed, PBE-GGA.

Lattice parameters (Å, degrees): 5.5756 5.5756 5.5756 60.00 60.00 60.00
With the nearest neighbours (Å) after each atom.
Atoms (fractional coordinates):
Al1 0.0000 0.0000 0.0000  16 As 3.26-3.41
As1 0.3729 0.3729 0.3729  6 As 2.74-2.83
As2 0.3729 0.3729 0.8812  6 As 2.74-2.83
As3 0.3729 0.8812 0.3729  6 As 2.74-2.83
As4 0.7500 0.7500 0.7500  12 As 3.27, 4 Al 3.41
As5 0.8812 0.3729 0.3729  6 As 2.74-2.83

Computed properties:
* DFT total energy: -3.97 eV/atom
* V: 122.56 Å³/cell
* N(E_F): 3.002 states/eV/cell
* E_form: 3.164 eV/f.u.
* SG: F-43m (216)
* distance to the lowest polymorph of the same formula: 446.4 meV/atom

=====

The highest V belongs to which entry?
CdInTe2

=====

Please write out number 1 again, unchanged.
ScTlMo2: relaxed, PBE-GGA.

Lattice parameters (Å, degrees): 3.0286 4.2965 5.9418 90.00 100.20 90.00
With the nearest neighbours (Å) after each atom.
Atoms (fractional coordinates):
Sc1 0.0000 0.0000 0.0000  3 Mo 2.77-2.87, 2 Sc 3.03, 4 Tl 3.07-3.09
Tl1 0.5868 0.5000 0.2738  6 Mo 2.91-3.13, 2 Tl 3.03, 4 Sc 3.07-3.09
Mo1 0.1649 0.0000 0.5562  2 Mo 2.57, 1 Sc 2.77
Mo2 0.5040 0.5000 0.7537  2 Mo 2.57, 2 Sc 2.87

Computed properties:
* DFT total energy: -7.36 eV/atom
* V: 76.10 Å³/cell
* N(E_F): 3.235 states/eV/cell
* E_form: 0.933 eV/f.u.
* SG: Pm (6)
* distance to the lowest polymorph of the same formula: 169.3 meV/atom